# 1
VASP calculation (PBE-GGA) on SrErBi2 after structural relaxation.

The structure in CIF format:
```
data_SrErBi2
_chemical_formula_sum 'Sr3 Er3 Bi6'
_space_group_name_H-M_alt 'R 3 m'
_space_group_IT_number 160
_space_group_name_Hall 'R 3 -2"'
_cell_length_a 4.7329
_cell_length_b 4.7329
_cell_length_c 22.6433
_cell_angle_alpha 90.00
_cell_angle_beta 90.00
_cell_angle_gamma 120.00
loop_
_atom_site_label
_atom_site_type_symbol
_atom_site_fract_x
_atom_site_fract_y
_atom_site_fract_z
Sr1 Sr 0.0000 0.0000 0.0000
Er1 Er 0.0000 0.0000 0.1721
Bi1 Bi 0.0000 0.0000 0.4278
Bi2 Bi 0.0000 0.0000 0.5776
```


# 2
VASP calculation (PBE-GGA) on Sr3Er2ThBi6 after structural relaxation.

The structure in CIF format:
```
data_Sr3Er2ThBi6
_chemical_formula_sum 'Sr6 Er4 Th2 Bi12'
_space_group_name_H-M_alt 'C 1 2/m 1'
_space_group_IT_number 12
_cell_length_a 7.994
_cell_length_b 13.813
_cell_length_c 8.285
_cell_angle_alpha 90.00
_cell_angle_beta 108.65
_cell_angle_gamma 90.00
loop_
_space_group_symop_operation_xyz
'x,y,z'
'-x,-y,-z'
'-x,y,-z'
'x,-y,z'
'x+1/2,y+1/2,z'
'-x+1/2,-y+1/2,-z'
'-x+1/2,y+1/2,-z'
'x+1/2,-y+1/2,z'
loop_
_atom_site_label
_atom_site_type_symbol
_atom_site_fract_x
_atom_site_fract_y
_atom_site_fract_z
Sr1 Sr 0.000 0.000 0.000
Sr2 Sr 0.000 0.336 0.000
Er1 Er 0.000 0.167 0.500
Th1 Th 0.000 0.500 0.500
Bi1 Bi 0.235 0.000 0.725
Bi2 Bi 0.245 0.330 0.727
```


# 3
VASP calculation (PBE-GGA) on Sr4ErTh3Bi8 after structural relaxation.

The structure in CIF format:
```
data_Sr4ErTh3Bi8
_chemical_formula_sum 'Sr12 Er3 Th9 Bi24'
_space_group_name_H-M_alt 'R -3 m'
_space_group_IT_number 166
_space_group_name_Hall '-R 3 2"'
_cell_length_a 9.3508
_cell_length_b 9.3508
_cell_length_c 23.4252
_cell_angle_alpha 90.00
_cell_angle_beta 90.00
_cell_angle_gamma 120.00
loop_
_atom_site_label
_atom_site_type_symbol
_atom_site_fract_x
_atom_site_fract_y
_atom_site_fract_z
Sr1 Sr 0.0000 0.0000 0.0000
Sr2 Sr 0.0000 0.5000 0.0000
Er1 Er 0.0000 0.0000 0.5000
Th1 Th 0.0000 0.5000 0.5000
Bi1 Bi 0.0000 0.0000 0.2444
Bi2 Bi 0.0042 0.5021 0.2431
```


# 4
VASP calculation (PBE-GGA) on SrErTlBi after structural relaxation.

The structure in CIF format:
```
data_SrErTlBi
_chemical_formula_sum 'Sr4 Er4 Tl4 Bi4'
_space_group_name_H-M_alt 'F -4 3 m'
_space_group_IT_number 216
_space_group_name_Hall 'F -4 2 3'
_cell_length_a 7.942
_cell_length_b 7.942
_cell_length_c 7.942
_cell_angle_alpha 90.00
_cell_angle_beta 90.00
_cell_angle_gamma 90.00
loop_
_atom_site_label
_atom_site_type_symbol
_atom_site_fract_x
_atom_site_fract_y
_atom_site_fract_z
Sr1 Sr 0.000 0.000 0.000
Er1 Er 0.000 0.000 0.500
Tl1 Tl 0.250 0.250 0.750
Bi1 Bi 0.250 0.250 0.250
```


# 5
VASP calculation (PBE-GGA) on TbEr8Bi2 after structural relaxation.

The structure in CIF format:
```
data_TbEr8Bi2
_chemical_formula_sum 'Tb2 Er16 Bi4'
_space_group_name_H-M_alt 'C 1 2/m 1'
_space_group_IT_number 12
_cell_length_a 14.918
_cell_length_b 8.734
_cell_length_c 6.195
_cell_angle_alpha 90.00
_cell_angle_beta 109.23
_cell_angle_gamma 90.00
loop_
_space_group_symop_operation_xyz
'x,y,z'
'-x,-y,-z'
'-x,y,-z'
'x,-y,z'
'x+1/2,y+1/2,z'
'-x+1/2,-y+1/2,-z'
'-x+1/2,y+1/2,-z'
'x+1/2,-y+1/2,z'
loop_
_atom_site_label
_atom_site_type_symbol
_atom_site_fract_x
_atom_site_fract_y
_atom_site_fract_z
Tb1 Tb 0.000 0.000 0.000
Er1 Er 0.088 0.500 0.748
Er2 Er 0.117 0.314 0.249
Er3 Er 0.188 0.000 0.852
Bi1 Bi 0.217 0.000 0.380
```


# 6
VASP calculation (PBE-GGA) on TbEr2Bi3 after structural relaxation.

The structure in CIF format:
```
data_TbEr2Bi3
_chemical_formula_sum 'Tb2 Er4 Bi6'
_space_group_name_H-M_alt 'I m m m'
_space_group_IT_number 71
_space_group_name_Hall '-I 2 2'
_cell_length_a 4.459
_cell_length_b 6.303
_cell_length_c 13.379
_cell_angle_alpha 90.00
_cell_angle_beta 90.00
_cell_angle_gamma 90.00
loop_
_atom_site_label
_atom_site_type_symbol
_atom_site_fract_x
_atom_site_fract_y
_atom_site_fract_z
Tb1 Tb 0.000 0.000 0.000
Er1 Er 0.000 0.000 0.334
Bi1 Bi 0.000 0.500 0.000
Bi2 Bi 0.000 0.500 0.331
```


# 7
VASP calculation (PBE-GGA) on Tb2Er3Bi2 after structural relaxation.

The structure in CIF format:
```
data_Tb2Er3Bi2
_chemical_formula_sum 'Tb4 Er6 Bi4'
_space_group_name_H-M_alt 'C 1 2/m 1'
_space_group_IT_number 12
_cell_length_a 12.118
_cell_length_b 4.319
_cell_length_c 8.573
_cell_angle_alpha 90.00
_cell_angle_beta 108.36
_cell_angle_gamma 90.00
loop_
_space_group_symop_operation_xyz
'x,y,z'
'-x,-y,-z'
'-x,y,-z'
'x,-y,z'
'x+1/2,y+1/2,z'
'-x+1/2,-y+1/2,-z'
'-x+1/2,y+1/2,-z'
'x+1/2,-y+1/2,z'
loop_
_atom_site_label
_atom_site_type_symbol
_atom_site_fract_x
_atom_site_fract_y
_atom_site_fract_z
Tb1 Tb 0.122 0.000 0.270
Er1 Er 0.000 0.500 0.500
Er2 Er 0.125 0.500 0.944
Bi1 Bi 0.176 0.000 0.689
```


# 8
VASP calculation (PBE-GGA) on TbEr4Bi2 after structural relaxation.

The structure in CIF format:
```
data_TbEr4Bi2
_chemical_formula_sum 'Tb2 Er8 Bi4'
_space_group_name_H-M_alt 'I 4/m m m'
_space_group_IT_number 139
_space_group_name_Hall '-I 4 2'
_cell_length_a 5.302
_cell_length_b 5.302
_cell_length_c 16.601
_cell_angle_alpha 90.00
_cell_angle_beta 90.00
_cell_angle_gamma 90.00
loop_
_atom_site_label
_atom_site_type_symbol
_atom_site_fract_x
_atom_site_fract_y
_atom_site_fract_z
Tb1 Tb 0.000 0.000 0.000
Er1 Er 0.000 0.000 0.181
Er2 Er 0.000 0.500 0.000
Bi1 Bi 0.000 0.000 0.365
```


# 9
VASP calculation (PBE-GGA) on Tb4ErBi2 after structural relaxation.

The structure in CIF format:
```
data_Tb4ErBi2
_chemical_formula_sum 'Tb8 Er2 Bi4'
_space_group_name_H-M_alt 'I 4/m m m'
_space_group_IT_number 139
_space_group_name_Hall '-I 4 2'
_cell_length_a 5.327
_cell_length_b 5.327
_cell_length_c 16.776
_cell_angle_alpha 90.00
_cell_angle_beta 90.00
_cell_angle_gamma 90.00
loop_
_atom_site_label
_atom_site_type_symbol
_atom_site_fract_x
_atom_site_fract_y
_atom_site_fract_z
Tb1 Tb 0.000 0.000 0.181
Tb2 Tb 0.000 0.500 0.000
Er1 Er 0.000 0.000 0.000
Bi1 Bi 0.000 0.000 0.365
```


# 10
VASP calculation (PBE-GGA) on TbEr2Bi after structural relaxation.

The structure in CIF format:
```
data_TbEr2Bi
_chemical_formula_sum 'Tb1 Er2 Bi1'
_space_group_name_H-M_alt 'P 4/m m m'
_space_group_IT_number 123
_space_group_name_Hall '-P 4 2'
_cell_length_a 4.840
_cell_length_b 4.840
_cell_length_c 4.840
_cell_angle_alpha 90.00
_cell_angle_beta 90.00
_cell_angle_gamma 90.00
loop_
_atom_site_label
_atom_site_type_symbol
_atom_site_fract_x
_atom_site_fract_y
_atom_site_fract_z
Tb1 Tb 0.000 0.000 0.000
Er1 Er 0.000 0.500 0.500
Bi1 Bi 0.500 0.500 0.000
```


# 11
VASP calculation (PBE-GGA) on Tb5ErBi4 after structural relaxation.

The structure in CIF format:
```
data_Tb5ErBi4
_chemical_formula_sum 'Tb10 Er2 Bi8'
_space_group_name_H-M_alt 'C 1 2/m 1'
_space_group_IT_number 12
_cell_length_a 19.021
_cell_length_b 4.410
_cell_length_c 8.478
_cell_angle_alpha 90.00
_cell_angle_beta 106.82
_cell_angle_gamma 90.00
loop_
_space_group_symop_operation_xyz
'x,y,z'
'-x,-y,-z'
'-x,y,-z'
'x,-y,z'
'x+1/2,y+1/2,z'
'-x+1/2,-y+1/2,-z'
'-x+1/2,y+1/2,-z'
'x+1/2,-y+1/2,z'
loop_
_atom_site_label
_atom_site_type_symbol
_atom_site_fract_x
_atom_site_fract_y
_atom_site_fract_z
Tb1 Tb 0.000 0.000 0.000
Tb2 Tb 0.162 0.500 0.304
Tb3 Tb 0.184 0.500 0.848
Er1 Er 0.000 0.000 0.500
Bi1 Bi 0.012 0.500 0.759
Bi2 Bi 0.168 0.000 0.574
```


# 12
VASP calculation (PBE-GGA) on Tb2ErBi after structural relaxation.

The structure in CIF format:
```
data_Tb2ErBi
_chemical_formula_sum 'Tb2 Er1 Bi1'
_space_group_name_H-M_alt 'P 4/m m m'
_space_group_IT_number 123
_space_group_name_Hall '-P 4 2'
_cell_length_a 4.211
_cell_length_b 4.211
_cell_length_c 6.742
_cell_angle_alpha 90.00
_cell_angle_beta 90.00
_cell_angle_gamma 90.00
loop_
_atom_site_label
_atom_site_type_symbol
_atom_site_fract_x
_atom_site_fract_y
_atom_site_fract_z
Tb1 Tb 0.000 0.000 0.241
Er1 Er 0.500 0.500 0.500
Bi1 Bi 0.500 0.500 0.000
```


# 13
VASP calculation (PBE-GGA) on Tb2ErBi after structural relaxation.

The structure in CIF format:
```
data_Tb2ErBi
_chemical_formula_sum 'Tb6 Er3 Bi3'
_space_group_name_H-M_alt 'R -3 m'
_space_group_IT_number 166
_space_group_name_Hall '-R 3 2"'
_cell_length_a 3.5305
_cell_length_b 3.5305
_cell_length_c 36.0990
_cell_angle_alpha 90.00
_cell_angle_beta 90.00
_cell_angle_gamma 120.00
loop_
_atom_site_label
_atom_site_type_symbol
_atom_site_fract_x
_atom_site_fract_y
_atom_site_fract_z
Tb1 Tb 0.0000 0.0000 0.0878
Er1 Er 0.0000 0.0000 0.5000
Bi1 Bi 0.0000 0.0000 0.0000
```


# 14
VASP calculation (PBE-GGA) on TbEr2Bi2 after structural relaxation.

The structure in CIF format:
```
data_TbEr2Bi2
_chemical_formula_sum 'Tb2 Er4 Bi4'
_space_group_name_H-M_alt 'C 1 2/m 1'
_space_group_IT_number 12
_cell_length_a 7.437
_cell_length_b 6.122
_cell_length_c 7.277
_cell_angle_alpha 90.00
_cell_angle_beta 105.17
_cell_angle_gamma 90.00
loop_
_space_group_symop_operation_xyz
'x,y,z'
'-x,-y,-z'
'-x,y,-z'
'x,-y,z'
'x+1/2,y+1/2,z'
'-x+1/2,-y+1/2,-z'
'-x+1/2,y+1/2,-z'
'x+1/2,-y+1/2,z'
loop_
_atom_site_label
_atom_site_type_symbol
_atom_site_fract_x
_atom_site_fract_y
_atom_site_fract_z
Tb1 Tb 0.000 0.000 0.000
Er1 Er 0.000 0.249 0.500
Bi1 Bi 0.173 0.500 0.208
```


# 15
VASP calculation (PBE-GGA) on Tb2ErBi after structural relaxation.

The structure in CIF format:
```
data_Tb2ErBi
_chemical_formula_sum 'Tb4 Er2 Bi2'
_space_group_name_H-M_alt 'P 1 21/m 1'
_space_group_IT_number 11
_cell_length_a 4.639
_cell_length_b 4.601
_cell_length_c 11.563
_cell_angle_alpha 90.00
_cell_angle_beta 101.58
_cell_angle_gamma 90.00
loop_
_space_group_symop_operation_xyz
'x,y,z'
'-x,-y,-z'
'-x,y+1/2,-z'
'x,-y+1/2,z'
loop_
_atom_site_label
_atom_site_type_symbol
_atom_site_fract_x
_atom_site_fract_y
_atom_site_fract_z
Tb1 Tb 0.060 0.250 0.120
Tb2 Tb 0.438 0.250 0.875
Er1 Er 0.309 0.750 0.620
Bi1 Bi 0.172 0.750 0.343
```


# 16
VASP calculation (PBE-GGA) on Tb2ErBi after structural relaxation.

The structure in CIF format:
```
data_Tb2ErBi
_chemical_formula_sum 'Tb2 Er1 Bi1'
_space_group_name_H-M_alt 'P 4/m m m'
_space_group_IT_number 123
_space_group_name_Hall '-P 4 2'
_cell_length_a 4.851
_cell_length_b 4.851
_cell_length_c 4.864
_cell_angle_alpha 90.00
_cell_angle_beta 90.00
_cell_angle_gamma 90.00
loop_
_atom_site_label
_atom_site_type_symbol
_atom_site_fract_x
_atom_site_fract_y
_atom_site_fract_z
Tb1 Tb 0.000 0.500 0.000
Er1 Er 0.000 0.000 0.500
Bi1 Bi 0.500 0.500 0.500
```


# 17
VASP calculation (PBE-GGA) on TbErBi2 after structural relaxation.

The structure in CIF format:
```
data_TbErBi2
_chemical_formula_sum 'Tb2 Er2 Bi4'
_space_group_name_H-M_alt 'P m m n'
_space_group_IT_number 59
_cell_length_a 4.466
_cell_length_b 6.314
_cell_length_c 8.931
_cell_angle_alpha 90.00
_cell_angle_beta 90.00
_cell_angle_gamma 90.00
loop_
_space_group_symop_operation_xyz
'x,y,z'
'-x,-y,-z'
'-x+1/2,-y+1/2,z'
'x+1/2,y+1/2,-z'
'x+1/2,-y,-z'
'-x+1/2,y,z'
'-x,y+1/2,-z'
'x,-y+1/2,z'
loop_
_atom_site_label
_atom_site_type_symbol
_atom_site_fract_x
_atom_site_fract_y
_atom_site_fract_z
Tb1 Tb 0.250 0.250 0.125
Er1 Er 0.250 0.250 0.625
Bi1 Bi 0.250 0.750 0.127
Bi2 Bi 0.250 0.750 0.623
```


# 18
VASP calculation (PBE-GGA) on TbEr2Bi after structural relaxation.

The structure in CIF format:
```
data_TbEr2Bi
_chemical_formula_sum 'Tb3 Er6 Bi3'
_space_group_name_H-M_alt 'R 3 m'
_space_group_IT_number 160
_space_group_name_Hall 'R 3 -2"'
_cell_length_a 3.6372
_cell_length_b 3.6372
_cell_length_c 32.1165
_cell_angle_alpha 90.00
_cell_angle_beta 90.00
_cell_angle_gamma 120.00
loop_
_atom_site_label
_atom_site_type_symbol
_atom_site_fract_x
_atom_site_fract_y
_atom_site_fract_z
Tb1 Tb 0.0000 0.0000 0.0000
Er1 Er 0.0000 0.0000 0.2462
Er2 Er 0.0000 0.0000 0.4198
Bi1 Bi 0.0000 0.0000 0.8332
```


# 19
VASP calculation (PBE-GGA) on TbEr2Bi after structural relaxation.

The structure in CIF format:
```
data_TbEr2Bi
_chemical_formula_sum 'Tb3 Er6 Bi3'
_space_group_name_H-M_alt 'R -3 m'
_space_group_IT_number 166
_space_group_name_Hall '-R 3 2"'
_cell_length_a 3.5256
_cell_length_b 3.5256
_cell_length_c 35.7844
_cell_angle_alpha 90.00
_cell_angle_beta 90.00
_cell_angle_gamma 120.00
loop_
_atom_site_label
_atom_site_type_symbol
_atom_site_fract_x
_atom_site_fract_y
_atom_site_fract_z
Tb1 Tb 0.0000 0.0000 0.0000
Er1 Er 0.0000 0.0000 0.4124
Bi1 Bi 0.0000 0.0000 0.5000
```


# 20
VASP calculation (PBE-GGA) on TbErBi2 after structural relaxation.

The structure in CIF format:
```
data_TbErBi2
_chemical_formula_sum 'Tb3 Er3 Bi6'
_space_group_name_H-M_alt 'R 3 m'
_space_group_IT_number 160
_space_group_name_Hall 'R 3 -2"'
_cell_length_a 4.4323
_cell_length_b 4.4323
_cell_length_c 22.7127
_cell_angle_alpha 90.00
_cell_angle_beta 90.00
_cell_angle_gamma 120.00
loop_
_atom_site_label
_atom_site_type_symbol
_atom_site_fract_x
_atom_site_fract_y
_atom_site_fract_z
Tb1 Tb 0.0000 0.0000 0.0000
Er1 Er 0.0000 0.0000 0.1705
Bi1 Bi 0.0000 0.0000 0.5825
Bi2 Bi 0.0000 0.0000 0.7542
```


| no. | E_form (eV/atom) |
| --- | --- |
| 1 | -0.657 |
| 2 | -0.757 |
| 3 | -0.775 |
| 4 | -0.403 |
| 5 | 0.065 |
| 6 | -0.834 |
| 7 | -0.449 |
| 8 | 0.361 |
| 9 | 0.271 |
| 10 | -0.319 |
| 11 | -0.481 |
| 12 | -0.362 |
| 13 | 0.016 |
| 14 | -0.373 |
| 15 | -0.393 |
| 16 | -0.338 |
| 17 | -0.847 |
| 18 | -0.182 |
| 19 | 0.031 |
| 20 | -0.749 |